## Ho2ThTe (PBE)

Data for a relaxed structure of Ho2ThTe.

Output
Spin magnetization ... 0.00 μB/f.u.
Final energy ... -5.472 eV/atom
Symmetry ... Pmmn, No. 59
V ... 31.0 A^3/atom
D(E_F) ... 0.771 states/eV per atom
ΔE to the lowest computed polymorph ... 1.4 kJ/mol of atoms

Structure (POSCAR):
```
Ho2ThTe
1.0
-2.704 1.909 1.924
3.759 0.795 4.495
7.168 10.164 -0.013
Te Th Ho
2 2 4
direct
0.923 0.814 0.936
0.423 0.186 0.064
0.423 0.703 0.547
0.923 0.297 0.453
0.423 0.585 0.165
0.423 0.030 0.720
0.923 0.970 0.280
0.923 0.415 0.835
```